Model a:
# Sc3AgC

A relaxed Sc3AgC crystal (PBE, Alexandria via LeMat-Bulk).

a b c (Å): 5.7159 6.0956 5.6785
angles (deg): 103.37 89.89 89.99
With the nearest neighbours (Å) after each atom.
Sites, in units of the cell vectors:
Sc  0.2249  0.3466  0.1125  2 C 2.24-2.26
Sc  0.5365  0.3467  0.6118  2 C 2.24-2.26
Sc  0.2249  0.8410  0.9820  2 C 2.24-2.26
Sc  0.0796  0.0941  0.5475  2 C 2.23
Sc  0.6819  0.0936  0.0463  2 C 2.23
Sc  0.5366  0.8410  0.4813  2 C 2.24-2.26
C  0.3808  0.0938  0.2969  6 Sc 2.23-2.26
C  0.3808  0.0938  0.7969  6 Sc 2.23-2.26
Ag  0.7666  0.5931  0.0463  6 Sc 2.89-3.09, 2 Ag 3.12-3.13
Ag  0.9949  0.5946  0.5475  6 Sc 2.89-3.09, 2 Ag 3.12-3.13

Results
The density comes out at 4.40 g cm⁻³. As for the total magnetization: 0.000 μB/atom.

=====

Model b:
# Sc3AgC

A relaxed Sc3AgC crystal (PBE, Alexandria via LeMat-Bulk).

a b c (Å): 9.0277 5.5846 5.5846
angles (deg): 107.42 115.07 115.07
With the nearest neighbours (Å) after each atom.
Sites, in units of the cell vectors:
Sc  0.9065  0.5742  0.0756  2 C 2.27
Sc  0.3978  0.5210  0.0880  2 C 2.27
Sc  0.1524  0.3103  0.3445  2 C 2.25
Sc  0.3978  0.0538  0.5552  2 C 2.27
Sc  0.9065  0.0414  0.6084  2 C 2.27
Sc  0.1519  0.7849  0.8191  2 C 2.25
C  0.1522  0.0476  0.5818  6 Sc 2.25-2.27
C  0.1522  0.5476  0.0818  6 Sc 2.25-2.27
Ag  0.6509  0.8280  0.8623  1 Ag 2.88, 6 Sc 3.15-3.19
Ag  0.6534  0.2668  0.3010  1 Ag 2.88, 6 Sc 3.15-3.20

Results
The density comes out at 4.51 g cm⁻³. As for the total magnetization: 0.103 μB/atom.

=====

Tell me which of them is the most stable. Sure, it is model b.

=====

Model a:
# ScAgC2

A relaxed ScAgC2 crystal (PBE, Alexandria via LeMat-Bulk).

a b c (Å): 4.2271 4.2271 7.1529
angles (deg): 72.81 72.81 90.00
With the nearest neighbours (Å) after each atom.
Sites, in units of the cell vectors:
Sc  0.5000  0.5000  0.0000  4 C 2.30
Sc  0.2500  0.7500  0.5000  4 C 2.30
C  0.6700  0.1250  0.2500  2 Ag 2.12, 2 Sc 2.30
C  0.0800  0.6250  0.2500  2 Ag 2.12, 2 Sc 2.30
C  0.3750  0.3300  0.7500  2 Ag 2.12, 2 Sc 2.30
C  0.8750  0.9200  0.7500  2 Ag 2.12, 2 Sc 2.30
Ag  0.0000  0.0000  0.0000  4 C 2.12
Ag  0.7500  0.2500  0.5000  4 C 2.12

Results
The density comes out at 5.06 g cm⁻³. As for the total magnetization: 0.000 μB/atom.

=====

Model b:
# ScAgC2

A relaxed ScAgC2 crystal (PBE, Alexandria via LeMat-Bulk).

a b c (Å): 4.0823 4.0823 4.0823
angles (deg): 60.00 60.00 60.00
With the nearest neighbours (Å) after each atom.
Sites, in units of the cell vectors:
Sc  0.0000  0.0000  0.0000  8 C 2.50
C  0.2500  0.2500  0.2500  4 Sc 2.50, 4 Ag 2.50
C  0.7500  0.7500  0.7500  4 Sc 2.50, 4 Ag 2.50
Ag  0.5000  0.5000  0.5000  8 C 2.50

Results
The density comes out at 6.10 g cm⁻³. As for the total magnetization: 0.000 μB/atom.

=====

Tell me which of them is the most stable. Sure, it is model b.